Entry from the Alexandria database: a relaxed Li9CdHg2 crystal (PBE).

Cell lengths 4.1976, 4.1976, 12.2807 Å; angles 90.00, 90.00, 90.00 degrees
With the nearest neighbours (Å) after each atom.
Fractional positions:
1 Li 0.0000 0.0000 0.0000  4 Cd 2.97, 8 Li 2.98
2 Li 0.0000 0.0000 0.3375  8 Li 2.90-2.92, 4 Hg 2.97
3 Li 0.0000 0.0000 0.6625  8 Li 2.90-2.92, 4 Hg 2.97
4 Li 0.0000 0.5000 0.1726  2 Hg 2.90, 8 Li 2.92-2.98, 2 Cd 2.98
5 Li 0.0000 0.5000 0.5000  8 Li 2.90-2.97, 4 Hg 2.91
6 Li 0.0000 0.5000 0.8274  2 Hg 2.90, 8 Li 2.92-2.98, 2 Cd 2.98
7 Li 0.5000 0.0000 0.1726  2 Hg 2.90, 8 Li 2.92-2.98, 2 Cd 2.98
8 Li 0.5000 0.0000 0.5000  8 Li 2.90-2.97, 4 Hg 2.91
9 Li 0.5000 0.0000 0.8274  2 Hg 2.90, 8 Li 2.92-2.98, 2 Cd 2.98
10 Cd 0.5000 0.5000 0.0000  12 Li 2.97-2.98
11 Hg 0.5000 0.5000 0.3355  12 Li 2.90-2.97
12 Hg 0.5000 0.5000 0.6645  12 Li 2.90-2.97

## Properties
SG: P4/mmm
Magnetic moment, μB/f.u.: 0.00
Volume, Å³ per cell: 216
Uncorrected energy, eV per atom: -1.79


Entry from the Alexandria database: a relaxed Ba3Ni crystal (PBE).

Cell lengths 5.2615, 5.2615, 7.0497 Å; angles 90.00, 90.00, 90.00 degrees
With the nearest neighbours (Å) after each atom.
Fractional positions:
1 Ba 0.0000 0.0000 0.0000  4 Ni 4.01, 4 Ba 4.21
2 Ba 0.0000 0.5000 0.5332  2 Ni 3.18
3 Ba 0.5000 0.0000 0.5332  2 Ni 3.18
4 Ni 0.5000 0.5000 0.7860  4 Ba 3.18

## Properties
SG: P4mm
Magnetic moment, μB/f.u.: 0.00
Volume, Å³ per cell: 195
Uncorrected energy, eV per atom: -2.56


Entry from the Alexandria database: a relaxed Ac2HoMg crystal (PBE).

Cell lengths 5.8912, 5.8912, 5.8912 Å; angles 60.00, 60.00, 60.00 degrees
With the nearest neighbours (Å) after each atom.
Fractional positions:
1 Ac 0.2500 0.2500 0.2500  4 Mg 3.61, 4 Ho 3.61
2 Ac 0.7500 0.7500 0.7500  4 Mg 3.61, 4 Ho 3.61
3 Ho 0.0000 0.0000 0.0000  8 Ac 3.61
4 Mg 0.5000 0.5000 0.5000  8 Ac 3.61

## Properties
SG: Fm-3m
Magnetic moment, μB/f.u.: 0.00
Volume, Å³ per cell: 145
Uncorrected energy, eV per atom: -3.57


Entry from the Alexandria database: a relaxed EuLuNiAu crystal (PBE).

Cell lengths 4.9867, 4.9867, 4.9867 Å; angles 60.00, 60.00, 60.00 degrees
With the nearest neighbours (Å) after each atom.
Fractional positions:
1 Eu 0.0000 0.0000 0.0000  4 Ni 3.05, 4 Au 3.05
2 Lu 0.5000 0.5000 0.5000  4 Au 3.05, 4 Ni 3.05
3 Ni 0.7500 0.7500 0.7500  4 Lu 3.05, 4 Eu 3.05
4 Au 0.2500 0.2500 0.2500  4 Lu 3.05, 4 Eu 3.05

## Properties
SG: F-43m
Magnetic moment, μB/f.u.: 7.04
Volume, Å³ per cell: 88
Uncorrected energy, eV per atom: -6.42


Entry from the Alexandria database: a relaxed Hf4SnC crystal (PBE).

Cell lengths 7.5163, 7.5163, 5.6521 Å; angles 104.71, 104.71, 118.18 degrees
With the nearest neighbours (Å) after each atom.
Fractional positions:
1 Hf 0.0680 0.6566 0.8531  1 C 2.31
2 Hf 0.1420 0.2509 0.6964  2 C 2.21-2.29
3 Hf 0.2509 0.1420 0.1964  2 C 2.21-2.29
4 Hf 0.3434 0.9320 0.6469  1 C 2.31
5 Hf 0.6566 0.0680 0.3531  1 C 2.31
6 Hf 0.7491 0.8580 0.8036  2 C 2.21-2.29
7 Hf 0.8580 0.7491 0.3036  2 C 2.21-2.29
8 Hf 0.9320 0.3434 0.1469  1 C 2.31
9 Sn 0.3954 0.6046 0.2500  8 Hf 2.87-3.13
10 Sn 0.6046 0.3954 0.7500  8 Hf 2.87-3.13
11 C 0.0657 0.9343 0.7500  6 Hf 2.21-2.31
12 C 0.9343 0.0657 0.2500  6 Hf 2.21-2.31

## Properties
SG: C2/c
Magnetic moment, μB/f.u.: 0.00
Volume, Å³ per cell: 245
Uncorrected energy, eV per atom: -9.14


Entry from the Alexandria database: a relaxed Rb4Pu3ZrS8 crystal (PBE).

Cell lengths 8.9894, 8.9894, 8.9894 Å; angles 53.80, 53.80, 53.80 degrees
With the nearest neighbours (Å) after each atom.
Fractional positions:
1 Rb 0.0000 0.0000 0.0000  6 S 3.43
2 Rb 0.0000 0.5000 0.5000  6 S 3.31-3.33
3 Rb 0.5000 0.0000 0.5000  6 S 3.31-3.33
4 Rb 0.5000 0.5000 0.0000  6 S 3.31-3.33
5 Pu 0.0000 0.0000 0.5000  6 S 2.77-2.81
6 Pu 0.0000 0.5000 0.0000  6 S 2.77-2.81
7 Pu 0.5000 0.0000 0.0000  6 S 2.77-2.81
8 Zr 0.5000 0.5000 0.5000  6 S 2.66
9 S 0.2308 0.2308 0.2308  3 Pu 2.77
10 S 0.2463 0.7215 0.7215  1 Zr 2.66, 2 Pu 2.81
11 S 0.2785 0.2785 0.7537  1 Zr 2.66, 2 Pu 2.81
12 S 0.2785 0.7537 0.2785  1 Zr 2.66, 2 Pu 2.81
13 S 0.7215 0.2463 0.7215  1 Zr 2.66, 2 Pu 2.81
14 S 0.7215 0.7215 0.2463  1 Zr 2.66, 2 Pu 2.81
15 S 0.7537 0.2785 0.2785  1 Zr 2.66, 2 Pu 2.81
16 S 0.7692 0.7692 0.7692  3 Pu 2.77

## Properties
Formation energy (no corrections), eV per atom: -1.54
SG: R-3m
Magnetic moment, μB/f.u.: 16.00
Volume, Å³ per cell: 439


Entry from the Alexandria database: a relaxed RbY2BePd crystal (PBE).

Cell lengths 5.4586, 5.4586, 4.4846 Å; angles 90.00, 90.00, 90.00 degrees
With the nearest neighbours (Å) after each atom.
Fractional positions:
1 Rb 0.0000 0.0000 0.0000  8 Y 3.53, 4 Pd 3.86
2 Y 0.0000 0.5000 0.5000  2 Be 2.73
3 Y 0.5000 0.0000 0.5000  2 Be 2.73
4 Be 0.5000 0.5000 0.5000  2 Pd 2.24
5 Pd 0.5000 0.5000 0.0000  2 Be 2.24

## Properties
SG: P4/mmm
Magnetic moment, μB/f.u.: 0.00
Volume, Å³ per cell: 134
Uncorrected energy, eV per atom: -4.24


Entry from the Alexandria database: a relaxed V2Ir3Pt crystal (PBE).

Cell lengths 6.1540, 6.1540, 3.7684 Å; angles 90.00, 90.00, 143.15 degrees
With the nearest neighbours (Å) after each atom.
Fractional positions:
1 V 0.1650 0.8350 0.0000  8 Ir 2.69-2.71, 2 Pt 2.74, 2 V 2.78
2 V 0.8350 0.1650 0.0000  8 Ir 2.69-2.71, 2 Pt 2.74, 2 V 2.78
3 Ir 0.0000 0.0000 0.5000  4 V 2.69, 4 Pt 2.71, 4 Ir 2.77
4 Ir 0.3309 0.6691 0.5000  6 V 2.70-2.71, 4 Ir 2.71-2.77, 2 Pt 2.73
5 Ir 0.6691 0.3309 0.5000  6 V 2.70-2.71, 4 Ir 2.71-2.77, 2 Pt 2.73
6 Pt 0.5000 0.5000 0.0000  8 Ir 2.71-2.73, 4 V 2.74

## Properties
SG: Cmmm
Magnetic moment, μB/f.u.: 1.01
Volume, Å³ per cell: 86
Uncorrected energy, eV per atom: -8.93